## LiGe2BMo (PBE)

Data for LiGe2BMo after structural relaxation.

a = 4.4489 Å, b = 4.4489 Å, c = 3.6321 Å
α = 90.00°, β = 90.00°, γ = 90.00°
Last column: nearest neighbours and their distance in Å.
Space group P4/mmm (No. 123)
One atom of each set of equivalent atoms:
1 Li 0.0000 0.0000 0.0000 (multiplicity 1)  2 B 1.82
2 Ge 0.0000 0.5000 0.0000 (multiplicity 2)  2 Li 2.22
3 B 0.0000 0.0000 0.5000 (multiplicity 1)  2 Li 1.82
4 Mo 0.5000 0.5000 0.5000 (multiplicity 1)  8 Ge 2.87, 4 B 3.15

- energy relative to the elements (meV/atom) = 1287.4


## NaLiGe2B (PBE)

Data for NaLiGe2B after structural relaxation.

a = 4.4230 Å, b = 4.4230 Å, c = 4.5505 Å
α = 90.00°, β = 90.00°, γ = 90.00°
Last column: nearest neighbours and their distance in Å.
Space group P4/mmm (No. 123)
One atom of each set of equivalent atoms:
1 Na 0.0000 0.0000 0.0000 (multiplicity 1)  4 Li 3.13, 8 Ge 3.17
2 Li 0.5000 0.5000 0.0000 (multiplicity 1)  2 B 2.28
3 Ge 0.0000 0.5000 0.5000 (multiplicity 2)  2 B 2.21
4 B 0.5000 0.5000 0.5000 (multiplicity 1)  4 Ge 2.21, 2 Li 2.28

- polymorph energy (0 for the lowest one) (meV per atom) = 0
- energy relative to the elements (meV/atom) = 353.3


## NaLiGe2B (PBE)

Data for NaLiGe2B after structural relaxation.

a = 5.0329 Å, b = 5.0329 Å, c = 4.4712 Å
α = 90.00°, β = 90.00°, γ = 90.00°
Last column: nearest neighbours and their distance in Å.
Space group P4/mmm (No. 123)
One atom of each set of equivalent atoms:
1 Na 0.0000 0.0000 0.0000 (multiplicity 1)  2 Li 2.24
2 Li 0.0000 0.0000 0.5000 (multiplicity 1)  2 Na 2.24
3 Ge 0.0000 0.5000 0.0000 (multiplicity 2)  2 Na 2.52
4 B 0.5000 0.5000 0.5000 (multiplicity 1)  8 Ge 3.37, 4 Li 3.56

- polymorph energy (0 for the lowest one) (meV per atom) = 1192
- energy relative to the elements (meV/atom) = 1545.6


## Li2GeBO4 (PBE)

Data for Li2GeBO4 after structural relaxation.

a = 4.4149 Å, b = 4.4637 Å, c = 4.8642 Å
α = 115.48°, β = 112.46°, γ = 90.69°
Last column: nearest neighbours and their distance in Å.
Space group P1 (No. 1)
One atom of each set of equivalent atoms:
1 Li 0.0000 0.0000 0.0000 (multiplicity 1)  4 O 1.96-2.04
2 Li 0.2495 0.7528 0.4999 (multiplicity 1)  4 O 1.97-2.19
3 Ge 0.4898 0.4973 0.0172 (multiplicity 1)  3 O 1.88-1.95
4 B 0.7572 0.2499 0.4978 (multiplicity 1)  4 O 1.47-1.55
5 O 0.0379 0.1333 0.6770 (multiplicity 1)  1 B 1.47
6 O 0.4535 0.9605 0.2721 (multiplicity 1)  1 B 1.51
7 O 0.6616 0.5506 0.7385 (multiplicity 1)  1 B 1.55
8 O 0.8558 0.3709 0.2920 (multiplicity 1)  1 B 1.51

- formation energy (no corrections) (eV per formula unit) = -14.76


For reference, magnetic moment by record: 0.0002; 0.0000; 0.0000; 0.1065 μB per atom.